Entry 1:
UAu2: relaxed, PBE.

Cell lengths 3.007, 4.875, 4.875 Å; angles 120.00, 90.00, 90.00 degrees
Fractional coordinates of all 3 atoms:
Au 0.000 0.333 0.667
Au 0.000 0.667 0.333
U 0.500 0.000 0.000

Calculated volume, Å³/atom: 20.624
Fermi-level density of states, states/eV/atom: 2.07
E, eV per atom: -6.22

=====

Entry 2:
UV2Au: relaxed, PBE.

Cell lengths 3.269, 3.269, 6.209 Å; angles 90.00, 90.00, 90.00 degrees
Fractional coordinates of all 4 atoms:
U 0.500 0.500 0.000
V 0.000 0.000 0.782
V 0.000 0.000 0.218
Au 0.500 0.500 0.500

Calculated volume, Å³/atom: 16.585
Fermi-level density of states, states/eV/atom: 1.66
E, eV per atom: -8.03

=====

Entry 3:
UZnAu: relaxed, PBE.

Cell lengths 2.985, 4.777, 4.777 Å; angles 120.00, 90.00, 90.00 degrees
Fractional coordinates of all 3 atoms:
Au 0.167 0.667 0.333
U 0.667 0.333 0.667
Zn 0.166 0.000 0.000

Calculated volume, Å³/atom: 19.663
Fermi-level density of states, states/eV/atom: 1.48
E, eV per atom: -5.46

=====

Entry 4:
UZn4Au: relaxed, PBE.

Cell lengths 5.344, 5.344, 5.344 Å; angles 60.00, 60.00, 60.00 degrees
Fractional coordinates of all 6 atoms:
U 0.000 0.000 0.000
Zn 0.625 0.125 0.625
Zn 0.125 0.625 0.625
Zn 0.625 0.625 0.125
Zn 0.625 0.625 0.625
Au 0.250 0.250 0.250

Calculated volume, Å³/atom: 17.983
Fermi-level density of states, states/eV/atom: 1.91
E, eV per atom: -3.18

=====

Entry 5:
UZn6Au3: relaxed, PBE.

Cell lengths 3.064, 9.318, 12.721 Å; angles 105.54, 90.00, 90.00 degrees
Fractional coordinates of all 20 atoms:
Au 0.750 0.128 0.077
Au 0.750 0.373 0.818
Au 0.250 0.627 0.182
Au 0.250 0.872 0.923
Au 0.750 0.674 0.572
Au 0.250 0.326 0.428
Zn 0.250 0.346 0.217
Zn 0.750 0.415 0.052
Zn 0.750 0.654 0.783
Zn 0.750 0.801 0.082
Zn 0.250 0.199 0.657
Zn 0.250 0.199 0.918
Zn 0.750 0.416 0.613
Zn 0.250 0.895 0.523
Zn 0.750 0.105 0.477
Zn 0.250 0.584 0.387
Zn 0.250 0.585 0.948
Zn 0.750 0.801 0.343
U 0.750 0.970 0.743
U 0.250 0.030 0.257

Calculated volume, Å³/atom: 17.494
Fermi-level density of states, states/eV/atom: 0.74
E, eV per atom: -2.95

=====

Entry 6:
UZn2Au3: relaxed, PBE.

Cell lengths 5.407, 5.783, 8.354 Å; angles 110.25, 108.88, 90.00 degrees
Fractional coordinates of all 12 atoms:
Zn 0.401 0.344 0.688
Zn 0.287 0.844 0.688
Zn 0.713 0.156 0.312
Zn 0.599 0.656 0.312
Au 0.500 0.750 0.000
Au 0.188 0.438 0.377
Au 0.500 0.250 0.000
Au 0.188 0.938 0.377
Au 0.812 0.062 0.623
Au 0.812 0.562 0.623
U 0.000 0.000 0.000
U 0.000 0.500 0.000

Calculated volume, Å³/atom: 19.170
Fermi-level density of states, states/eV/atom: 1.06
E, eV per atom: -4.03

=====

Entry 7:
U2Zn12Au5: relaxed, PBE.

Cell lengths 6.960, 6.960, 6.960 Å; angles 83.84, 83.84, 83.84 degrees
Fractional coordinates of all 19 atoms:
Zn 0.000 0.307 0.693
Zn 0.829 0.352 0.352
Zn 0.352 0.352 0.829
Zn 0.648 0.171 0.648
Zn 0.171 0.648 0.648
Zn 0.352 0.829 0.352
Zn 0.307 0.693 0.000
Zn 0.693 0.000 0.307
Zn 0.307 0.000 0.693
Zn 0.693 0.307 0.000
Zn 0.000 0.693 0.307
Zn 0.648 0.648 0.171
Au 0.109 0.109 0.109
Au 0.891 0.891 0.891
Au 0.000 0.000 0.500
Au 0.000 0.500 0.000
Au 0.500 0.000 0.000
U 0.656 0.656 0.656
U 0.344 0.344 0.344

Calculated volume, Å³/atom: 17.460
Fermi-level density of states, states/eV/atom: 1.26
E, eV per atom: -2.93

=====

Entry 8:
UZn2Au8: relaxed, PBE.

Cell lengths 4.275, 7.018, 7.609 Å; angles 109.98, 106.32, 90.00 degrees
Fractional coordinates of all 11 atoms:
Au 0.045 0.724 0.090
Au 0.393 0.528 0.786
Au 0.684 0.913 0.369
Au 0.850 0.764 0.699
Au 0.607 0.472 0.214
Au 0.316 0.087 0.631
Au 0.150 0.236 0.301
Au 0.955 0.276 0.910
Zn 0.225 0.667 0.449
Zn 0.775 0.333 0.551
U 0.500 0.000 0.000

Calculated volume, Å³/atom: 18.613
Fermi-level density of states, states/eV/atom: 0.62
E, eV per atom: -3.78

=====

Entry 9:
UZnAu3: relaxed, PBE.

Cell lengths 5.834, 5.057, 9.501 Å; angles 105.43, 130.55, 90.00 degrees
Fractional coordinates of all 10 atoms:
Zn 0.338 0.178 0.356
Zn 0.662 0.822 0.644
Au 0.932 0.204 0.408
Au 0.381 0.633 0.265
Au 0.619 0.367 0.735
Au 0.705 0.976 0.952
Au 0.068 0.796 0.592
Au 0.295 0.024 0.048
U 0.791 0.582 0.165
U 0.209 0.418 0.835

Calculated volume, Å³/atom: 19.949
Fermi-level density of states, states/eV/atom: 1.28
E, eV per atom: -4.58

=====

Entry 10:
UZn5Au4: relaxed, PBE.

Cell lengths 3.161, 3.161, 17.116 Å; angles 90.00, 90.00, 90.00 degrees
Fractional coordinates of all 10 atoms:
Au 0.000 0.000 0.595
Au 0.000 0.000 0.784
Au 0.000 0.000 0.216
Au 0.000 0.000 0.405
Zn 0.500 0.500 0.311
Zn 0.500 0.500 0.500
Zn 0.500 0.500 0.125
Zn 0.500 0.500 0.875
Zn 0.500 0.500 0.689
U 0.000 0.000 0.000

Calculated volume, Å³/atom: 17.107
Fermi-level density of states, states/eV/atom: 0.71
E, eV per atom: -3.21

=====

Entry 11:
UZn10Au2: relaxed, PBE.

Cell lengths 6.988, 6.988, 8.968 Å; angles 90.00, 90.00, 99.26 degrees
Fractional coordinates of all 26 atoms:
Zn 0.851 0.149 0.107
Zn 0.149 0.851 0.893
Zn 0.524 0.765 0.750
Zn 0.613 0.387 0.939
Zn 0.785 0.785 0.500
Zn 0.149 0.851 0.607
Zn 0.615 0.849 0.250
Zn 0.849 0.615 0.750
Zn 0.385 0.151 0.750
Zn 0.387 0.613 0.061
Zn 0.387 0.613 0.439
Zn 0.476 0.235 0.250
Zn 0.215 0.215 0.500
Zn 0.765 0.524 0.250
Zn 0.613 0.387 0.561
Zn 0.215 0.215 0.000
Zn 0.785 0.785 0.000
Zn 0.151 0.385 0.250
Zn 0.851 0.149 0.393
Zn 0.235 0.476 0.750
U 0.124 0.876 0.250
U 0.876 0.124 0.750
Au 0.000 0.500 0.000
Au 0.500 0.000 0.500
Au 0.000 0.500 0.500
Au 0.500 0.000 0.000

Calculated volume, Å³/atom: 16.625
Fermi-level density of states, states/eV/atom: 0.97
E, eV per atom: -2.44

=====

Entry 12:
UZn6Au6: relaxed, PBE.

Cell lengths 5.229, 7.088, 7.088 Å; angles 79.75, 68.35, 68.35 degrees
Fractional coordinates of all 13 atoms:
Zn 0.500 0.243 0.757
Zn 0.500 0.000 0.500
Zn 0.500 0.757 0.243
Zn 0.000 0.000 0.500
Zn 0.000 0.500 0.000
Zn 0.500 0.500 0.000
Au 0.675 0.825 0.825
Au 0.325 0.175 0.175
Au 0.000 0.333 0.667
Au 0.660 0.340 0.340
Au 0.000 0.667 0.333
Au 0.340 0.660 0.660
U 0.000 0.000 0.000

Calculated volume, Å³/atom: 17.440
Fermi-level density of states, states/eV/atom: 0.83
E, eV per atom: -3.17